1.
First-principles (PBE) data for Zr3GaAg after structural relaxation, as listed in Alexandria.

Structure (POSCAR):
```
Zr3GaAg
1.0
5.009 0.000 0.000
0.000 5.009 0.000
0.000 0.000 5.009
Zr Ag Ga
3 1 1
Direct
0.500 0.000 0.000
0.000 0.000 0.500
0.000 0.500 0.000
0.500 0.500 0.500
0.000 0.000 0.000
```

Computed properties:
Excess energy over the best structure of this formula in the dataset (meV/atom): 0
Formation energy from the elements (meV per atom): 546
Total magnetic moment (μB/f.u.): 0.00

2.
First-principles (PBE) data for PmCd6In after structural relaxation, as listed in Alexandria.

Structure (POSCAR):
```
PmCd6In
1.0
-0.650 -1.352 4.604
5.211 -3.773 -0.372
2.130 5.748 1.989
Cd Pm In
6 1 1
Direct
0.500 0.854 0.559
0.000 0.560 0.440
0.500 0.441 0.146
0.000 0.653 0.955
0.000 0.045 0.347
0.500 0.938 0.062
0.000 0.140 0.860
0.500 0.367 0.633
```

Computed properties:
Formation energy from the elements (meV per atom): -156
Total magnetic moment (μB/f.u.): 0.00

3.
First-principles (PBE) data for Ta3AgO after structural relaxation, as listed in Alexandria.

Structure (POSCAR):
```
Ta3AgO
1.0
4.888 0.000 0.000
0.000 4.888 0.000
0.000 0.000 4.888
Ta Ag O
3 1 1
Direct
0.000 0.500 0.000
0.000 0.000 0.500
0.500 0.000 0.000
0.000 0.000 0.000
0.500 0.500 0.500
```

Computed properties:
Excess energy over the best structure of this formula in the dataset (meV/atom): 2840
Formation energy (no corrections) (eV per atom): 2.497
Total magnetic moment (μB/f.u.): 0.00

4.
First-principles (PBE) data for YEr2PuS6 after structural relaxation, as listed in Alexandria.

Structure (POSCAR):
```
YEr2PuS6
1.0
6.903 0.000 0.000
3.451 5.978 0.000
3.451 1.993 6.189
S Pu Er Y
6 1 2 1
Direct
0.619 0.223 0.248
0.223 0.910 0.248
0.910 0.619 0.248
0.404 0.721 0.751
0.721 0.124 0.751
0.124 0.404 0.751
0.815 0.815 0.556
0.015 0.015 0.955
0.515 0.515 0.454
0.315 0.315 0.054
```

Computed properties:
Formation energy (no corrections) (eV per atom): -1.921
Total magnetic moment (μB/f.u.): 5.00

5.
First-principles (PBE) data for TlFeSb2I after structural relaxation, as listed in Alexandria.

Structure (POSCAR):
```
TlFeSb2I
1.0
-3.162 4.001 2.569
2.217 -1.488 5.047
4.457 4.019 -0.773
Fe Sb I Tl
1 2 1 1
Direct
0.500 0.500 0.500
0.500 0.000 0.000
0.000 0.500 0.000
0.000 0.000 0.500
0.000 0.000 0.000
```

Computed properties:
Excess energy over the best structure of this formula in the dataset (meV/atom): 1057
Formation energy (no corrections) (eV per atom): 1.306
Total magnetic moment (μB/f.u.): 3.13

6.
First-principles (PBE) data for Ce6ZnHg2 after structural relaxation, as listed in Alexandria.

Structure (POSCAR):
```
Ce6ZnHg2
1.0
2.982 0.000 0.000
0.000 7.826 -4.518
0.000 0.000 9.036
Ce Zn Hg
6 1 2
Direct
0.500 0.319 0.319
0.500 0.319 0.000
0.500 0.681 0.681
0.500 0.000 0.681
0.500 0.681 0.000
0.500 0.000 0.319
0.000 0.000 0.000
0.000 0.667 0.333
0.000 0.333 0.667
```

Computed properties:
Excess energy over the best structure of this formula in the dataset (meV/atom): 0
Formation energy from the elements (meV per atom): -132
Total magnetic moment (μB/f.u.): 2.53

7.
First-principles (PBE) data for ZnAsPb2 after structural relaxation, as listed in Alexandria.

Structure (POSCAR):
```
ZnAsPb2
1.0
6.110 0.037 0.000
2.905 5.375 0.000
-4.507 -2.706 3.113
Pb Zn As
2 1 1
Direct
0.250 0.750 0.500
0.000 0.000 0.000
0.500 0.500 0.000
0.750 0.250 0.500
```

Computed properties:
Excess energy over the best structure of this formula in the dataset (meV/atom): 145
Formation energy from the elements (meV per atom): 176
Total magnetic moment (μB/f.u.): 0.00

8.
First-principles (PBE) data for PuMg3Hg2 after structural relaxation, as listed in Alexandria.

Structure (POSCAR):
```
PuMg3Hg2
1.0
-2.815 0.716 -1.691
-2.892 -8.832 4.418
-0.778 8.636 4.951
Hg Mg Pu
4 6 2
Direct
0.517 0.034 0.870
0.210 0.420 0.730
0.483 0.966 0.130
0.790 0.580 0.270
0.676 0.351 0.940
0.392 0.783 0.529
0.951 0.902 0.328
0.608 0.217 0.471
0.049 0.098 0.672
0.324 0.649 0.060
0.862 0.724 0.799
0.138 0.276 0.201
```

Computed properties:
Formation energy from the elements (meV per atom): -71
Total magnetic moment (μB/f.u.): 5.90

Which formula does entry 4 have? YEr2PuS6

Which formula does entry 6 have? Ce6ZnHg2

What is the formula in the sixth record? Ce6ZnHg2